[1]
YTe2AsN: optimized geometry, GGA-PBEsol.

Cell and atoms, written as extended XYZ:
```
5
Lattice="3.8200 0.0000 0.0000 0.0000 5.4836 0.0000 0.0000 0.0000 5.4836" Properties=species:S:1:pos:R:3 pbc="T T T"
Te 0.0000 0.0000 2.7418
Y 1.9100 2.7418 2.7418
As 0.0000 0.0000 0.0000
N 1.9100 0.0000 0.0000
Te 0.0000 2.7418 0.0000
```

Properties
Polymorph energy (0 for the lowest one), meV/atom: 0
Fermi-level density of states, states/eV/atom: 0.523
Energy relative to the elements, uncorrected, meV/atom: 86
Calculated volume, Å³/atom: 23.0
Space-group type: P4/mmm

=====

[2]
YScCo: optimized geometry, GGA-PBEsol.

Cell and atoms, written as extended XYZ:
```
3
Lattice="3.1973 0.0000 0.0000 0.0000 3.1973 0.0000 -1.5987 -1.5987 5.9657" Properties=species:S:1:pos:R:3 pbc="T T T"
Sc 0.0000 0.0000 4.4691
Co 1.5987 1.5987 5.8565
Y 1.5987 1.5987 1.6059
```

Properties
Raw total energy, Ry per atom: -0.5288
Fermi-level density of states, states/eV/atom: 0.889
Calculated volume, Å³/atom: 20.3
Space-group type: I4mm